# HfGa3Co

An optimized crystal structure of HfGa3Co (PBE-GGA, Alexandria).

a = 5.1221 Å, b = 5.1221 Å, c = 5.1221 Å
α = 90.00°, β = 90.00°, γ = 90.00°
Closest atoms and distances in Å follow each position.
Positions (direct):
Hf  0.0000  0.0000  0.0000  6 Ga 2.56
Ga  0.0000  0.0000  0.5000  2 Hf 2.56
Ga  0.0000  0.5000  0.0000  2 Hf 2.56
Ga  0.5000  0.0000  0.0000  2 Hf 2.56
Co  0.5000  0.5000  0.5000  12 Ga 3.62

Crystal system: cubic

# HfGa2Co

An optimized crystal structure of HfGa2Co (PBE-GGA, Alexandria).

a = 3.7365 Å, b = 3.7365 Å, c = 19.2727 Å
α = 90.00°, β = 90.00°, γ = 90.00°
Closest atoms and distances in Å follow each position.
Positions (direct):
Hf  0.0000  0.0000  0.0000  4 Co 2.64, 4 Ga 2.76
Hf  0.0000  0.5000  0.2500  4 Co 2.64, 4 Ga 2.76
Hf  0.5000  0.0000  0.7500  4 Co 2.64, 4 Ga 2.76
Hf  0.5000  0.5000  0.5000  4 Co 2.64, 4 Ga 2.76
Ga  0.2372  0.2500  0.6250  4 Ga 2.58-2.71, 2 Co 2.73, 2 Hf 2.76
Ga  0.2500  0.7372  0.8750  4 Ga 2.58-2.71, 2 Co 2.73, 2 Hf 2.76
Ga  0.2500  0.7628  0.3750  4 Ga 2.58-2.71, 2 Co 2.73, 2 Hf 2.76
Ga  0.2628  0.2500  0.1250  4 Ga 2.58-2.71, 2 Co 2.73, 2 Hf 2.76
Ga  0.7372  0.7500  0.1250  4 Ga 2.58-2.71, 2 Co 2.73, 2 Hf 2.76
Ga  0.7500  0.2372  0.3750  4 Ga 2.58-2.71, 2 Co 2.73, 2 Hf 2.76
Ga  0.7500  0.2628  0.8750  4 Ga 2.58-2.71, 2 Co 2.73, 2 Hf 2.76
Ga  0.7628  0.7500  0.6250  4 Ga 2.58-2.71, 2 Co 2.73, 2 Hf 2.76
Co  0.0000  0.0000  0.5000  4 Hf 2.64, 4 Ga 2.73
Co  0.0000  0.5000  0.7500  4 Hf 2.64, 4 Ga 2.73
Co  0.5000  0.0000  0.2500  4 Hf 2.64, 4 Ga 2.73
Co  0.5000  0.5000  0.0000  4 Hf 2.64, 4 Ga 2.73

Crystal system: tetragonal

# Hf3Ga3Co

An optimized crystal structure of Hf3Ga3Co (PBE-GGA, Alexandria).

a = 5.3477 Å, b = 5.3477 Å, c = 13.2218 Å
α = 107.65°, β = 107.65°, γ = 43.18°
Closest atoms and distances in Å follow each position.
Positions (direct):
Hf  0.0169  0.0169  0.3766  6 Ga 2.76-2.99, 3 Co 2.78-2.95
Hf  0.1074  0.1074  0.9256  7 Ga 2.75-2.97
Hf  0.2362  0.2362  0.2372  2 Co 2.74, 6 Ga 2.83-2.91
Hf  0.7638  0.7638  0.7628  2 Co 2.74, 6 Ga 2.83-2.91
Hf  0.8926  0.8926  0.0744  7 Ga 2.75-2.97
Hf  0.9831  0.9831  0.6234  6 Ga 2.76-2.99, 3 Co 2.78-2.95
Ga  0.3576  0.3576  0.4642  3 Co 2.37-2.52
Ga  0.3827  0.3827  0.9231  2 Ga 2.53-2.55, 3 Hf 2.75-2.78
Ga  0.4826  0.4826  0.7699  1 Co 2.46, 1 Ga 2.53
Ga  0.5174  0.5174  0.2301  1 Co 2.46, 1 Ga 2.53
Ga  0.6173  0.6173  0.0769  2 Ga 2.53-2.55, 3 Hf 2.75-2.78
Ga  0.6424  0.6424  0.5358  3 Co 2.37-2.52
Co  0.2604  0.2604  0.6177  4 Ga 2.37-2.52
Co  0.7396  0.7396  0.3823  4 Ga 2.37-2.52

Crystal system: monoclinic

Formation energy list, top to bottom, in eV/f.u.: 5.84 -0.06 -3.47
E_tot list, top to bottom, in eV per atom: -4.06 -5.79 -7.07